## TbScCuOs (PBE-GGA)

Data for crystalline TbScCuOs at its relaxed geometry.

abc: 4.729 4.729 4.729
angles: 60.00 60.00 60.00
Fractional positions:
Tb (0.000, 0.000, 0.000)
Sc (0.500, 0.500, 0.500)
Cu (0.750, 0.750, 0.750)
Os (0.250, 0.250, 0.250)

Values from the calculation:
Size of the total moment: 0.0 Bohr magnetons per cell
Formation enthalpy at 0 K: -1.14 eV/f.u.
Space-group type: No. 216
Calculated volume: 18.7 A^3/atom
Density: 10.16 g/cm3